1.
InBi2PtO6: optimized geometry, PBE-GGA.

a b c (Å): 5.7235 6.0537 9.8753
angles (deg): 90.00 124.32 90.00
Last column: nearest neighbours and their distance in Å.
Space group P2_1/c (No. 14)
Symmetry-distinct sites (fractional):
1 In 0.0000 0.0000 0.0000 (multiplicity 2)  6 O 2.24-2.25
2 Bi 0.2365 0.0598 0.7266 (multiplicity 4)  6 O 2.34-2.61
3 Pt 0.5000 0.0000 0.5000 (multiplicity 2)  6 O 2.09-2.16
4 O 0.1465 0.0561 0.2622 (multiplicity 4)  1 Pt 2.09, 1 In 2.25
5 O 0.2009 0.6690 0.0251 (multiplicity 4)  1 Pt 2.13, 1 In 2.25, 1 Bi 2.34
6 O 0.3693 0.2222 0.0789 (multiplicity 4)  1 Pt 2.16, 1 In 2.24, 1 Bi 2.39

Summary:
Raw formation energy (eV per atom): -1.00

---

2.
ZnIr2Rh8: optimized geometry, PBE-GGA.

a b c (Å): 7.9141 9.9567 4.2358
angles (deg): 90.00 90.00 90.00
Last column: nearest neighbours and their distance in Å.
Space group Cmmm (No. 65)
Symmetry-distinct sites (fractional):
1 Zn 0.0000 0.0000 0.0000 (multiplicity 2)  4 Rh 2.45-2.62
2 Ir 0.0000 0.3749 0.5000 (multiplicity 4)  6 Rh 2.48-2.73, 1 Ir 2.49
3 Rh 0.0000 0.2458 0.0000 (multiplicity 4)  1 Zn 2.45, 2 Ir 2.48, 4 Rh 2.73
4 Rh 0.1655 0.1338 0.5000 (multiplicity 8)  7 Rh 2.62-2.82, 2 Ir 2.65-2.73, 2 Zn 2.82
5 Rh 0.1693 0.5000 0.0000 (multiplicity 4)  1 Zn 2.62, 7 Rh 2.68-2.86, 4 Ir 2.80

Summary:
Energy of formation (eV/atom): 0.207

---

3.
MnSiMo: optimized geometry, PBE-GGA.

a b c (Å): 6.3707 6.3707 3.3648
angles (deg): 90.00 90.00 120.00
Last column: nearest neighbours and their distance in Å.
Space group P-62m (No. 189)
Symmetry-distinct sites (fractional):
1 Mn 0.0000 0.2521 0.0000 (multiplicity 3)  4 Si 2.33-2.42
2 Si 0.0000 0.0000 0.5000 (multiplicity 1)  6 Mn 2.33, 3 Mo 2.59
3 Si 0.3333 0.6667 0.0000 (multiplicity 2)  3 Mn 2.42, 6 Mo 2.56
4 Mo 0.0000 0.5936 0.5000 (multiplicity 3)  5 Si 2.56-2.59, 6 Mn 2.75-2.82

Summary:
Raw formation energy (eV per atom): -0.34

---

4.
Pr5Y4Th: optimized geometry, PBE-GGA.

a b c (Å): 10.5156 10.5156 6.3795
angles (deg): 90.00 90.00 90.00
Last column: nearest neighbours and their distance in Å.
Space group I4 (No. 79)
Symmetry-distinct sites (fractional):
1 Pr 0.0000 0.0000 0.0000 (multiplicity 2)  1 Th 2.95, 4 Pr 3.28
2 Pr 0.1755 0.7995 0.2670 (multiplicity 8)  1 Pr 3.28, 2 Y 3.28-3.29, 1 Th 3.29
3 Y 0.0124 0.6768 0.7561 (multiplicity 8)  2 Pr 3.28-3.29
4 Th 0.0000 0.0000 0.5377 (multiplicity 2)  5 Pr 2.95-3.29

Summary:
Energy of formation (eV/atom): 0.288

---

5.
ScZn2Ni9: optimized geometry, PBE-GGA.

a b c (Å): 3.6321 3.6321 10.8279
angles (deg): 90.00 90.00 90.00
Last column: nearest neighbours and their distance in Å.
Space group P4/mmm (No. 123)
Symmetry-distinct sites (fractional):
1 Sc 0.0000 0.0000 0.0000 (multiplicity 1)  12 Ni 2.57-2.64
2 Zn 0.0000 0.0000 0.3390 (multiplicity 2)  12 Ni 2.52-2.57
3 Ni 0.0000 0.5000 0.1769 (multiplicity 4)  8 Ni 2.51-2.64, 2 Zn 2.53, 2 Sc 2.64
4 Ni 0.0000 0.5000 0.5000 (multiplicity 2)  4 Zn 2.52, 8 Ni 2.53-2.57
5 Ni 0.5000 0.5000 0.0000 (multiplicity 1)  4 Sc 2.57, 8 Ni 2.64
6 Ni 0.5000 0.5000 0.3367 (multiplicity 2)  8 Ni 2.51-2.53, 4 Zn 2.57

Summary:
Energy of formation (eV/atom): -0.203

---

Number 1: magnetization 0.0 Bohr magnetons per cell. Number 2: magnetization 0.0 Bohr magnetons per cell. Number 3: magnetization 4.5 Bohr magnetons per cell. Number 4: magnetization 0.0 Bohr magnetons per cell. Number 5: magnetization 3.2 Bohr magnetons per cell.